Entry 1:
First-principles (PBE) data for crystalline TmZr3Te6 at its relaxed geometry, as listed in the Alexandria database.

- Formation energy without anion corrections: -908.9 meV per atom

a = 11.9218 Å, b = 4.0171 Å, c = 12.4749 Å
α = 90.00°, β = 109.29°, γ = 90.00°
Space group P2_1/m (No. 11)
Inequivalent atoms, fractional coordinates:
Tm 0.0522 0.2500 0.1978 x2
Zr 0.1205 0.2500 0.5668 x2
Zr 0.3188 0.7500 0.9869 x2
Zr 0.4428 0.2500 0.3671 x2
Te 0.1046 0.7500 0.3956 x2
Te 0.1197 0.2500 0.9709 x2
Te 0.1869 0.7500 0.7465 x2
Te 0.2742 0.7500 0.2168 x2
Te 0.3750 0.2500 0.5725 x2
Te 0.4866 0.2500 0.1247 x2

***

Entry 2:
First-principles (PBE) data for crystalline Pr2NdSm2Er at its relaxed geometry, as listed in the Alexandria database.

- Formation energy: 33 kJ/mol of formula units

a = 7.1230 Å, b = 5.7569 Å, c = 9.9623 Å
α = 90.00°, β = 90.00°, γ = 90.00°
Space group Pmma (No. 51)
Inequivalent atoms, fractional coordinates:
Pr 0.0000 0.0000 0.0000 x2
Pr 0.2500 0.5000 0.1758 x2
Nd 0.2500 0.0000 0.6591 x2
Sm 0.2500 0.0000 0.3323 x2
Sm 0.2500 0.5000 0.8351 x2
Er 0.0000 0.5000 0.5000 x2

***

Entry 3:
First-principles (PBE) data for crystalline Hf2Ni9Mo at its relaxed geometry, as listed in the Alexandria database.

- Formation energy: -335 kJ/mol of formula units

a = 3.7032 Å, b = 3.7032 Å, c = 11.1075 Å
α = 90.00°, β = 90.00°, γ = 90.00°
Space group P4/mmm (No. 123)
Inequivalent atoms, fractional coordinates:
Hf 0.0000 0.0000 0.1693 x2
Ni 0.0000 0.5000 0.0000 x2
Ni 0.0000 0.5000 0.3397 x4
Ni 0.5000 0.5000 0.1694 x2
Ni 0.5000 0.5000 0.5000 x1
Mo 0.0000 0.0000 0.5000 x1

***

Entry 4:
First-principles (PBE) data for crystalline KBeCrTe3 at its relaxed geometry, as listed in the Alexandria database.

- Formation energy without anion corrections: -358.2 meV per atom

a = 9.5534 Å, b = 3.9285 Å, c = 9.8500 Å
α = 90.00°, β = 115.76°, γ = 90.00°
Space group P2_1/m (No. 11)
Inequivalent atoms, fractional coordinates:
K 0.1800 0.2500 0.2323 x2
Be 0.0738 0.2500 0.5856 x2
Cr 0.3810 0.7500 0.8852 x2
Te 0.1634 0.2500 0.8558 x2
Te 0.2160 0.7500 0.5542 x2
Te 0.4606 0.7500 0.1682 x2

***

Entry 5:
First-principles (PBE) data for crystalline Y2Te2W at its relaxed geometry, as listed in the Alexandria database.

- Distance to the lowest polymorph of the same formula: 0.406 eV/atom
- Formation energy without anion corrections: 104.8 meV per atom

a = 5.8853 Å, b = 5.8853 Å, c = 8.5238 Å
α = 90.00°, β = 90.00°, γ = 90.00°
Space group I4/mmm (No. 139)
Inequivalent atoms, fractional coordinates:
Y 0.0000 0.5000 0.2500 x4
Te 0.0000 0.0000 0.1876 x4
W 0.0000 0.0000 0.5000 x2

***

Entry 6:
First-principles (PBE) data for crystalline Tb6CoBi2 at its relaxed geometry, as listed in the Alexandria database.

- Formation energy: -137 kJ/mol of formula units

a = 6.7874 Å, b = 6.7874 Å, c = 13.9025 Å
α = 90.00°, β = 90.00°, γ = 90.00°
Space group P4_2/mnm (No. 136)
Inequivalent atoms, fractional coordinates:
Tb 0.1824 0.1824 0.1347 x8
Tb 0.2173 0.2173 0.5000 x4
Co 0.0000 0.0000 0.0000 x2
Bi 0.0000 0.0000 0.3238 x4

***

Entry 7:
First-principles (PBE) data for crystalline SrHo2Zn3 at its relaxed geometry, as listed in the Alexandria database.

- Formation energy: -164 kJ/mol of formula units

a = 3.6429 Å, b = 3.6429 Å, c = 11.0627 Å
α = 90.00°, β = 90.00°, γ = 90.00°
Space group P4/mmm (No. 123)
Inequivalent atoms, fractional coordinates:
Sr 0.0000 0.0000 0.0000 x1
Ho 0.0000 0.0000 0.3436 x2
Zn 0.5000 0.5000 0.1976 x2
Zn 0.5000 0.5000 0.5000 x1

***

Entry 8:
First-principles (PBE) data for crystalline LaYHfS2 at its relaxed geometry, as listed in the Alexandria database.

- Formation energy without anion corrections: 531.4 meV per atom

a = 5.3129 Å, b = 5.3129 Å, c = 6.2288 Å
α = 90.00°, β = 90.00°, γ = 90.00°
Space group P4/mmm (No. 123)
Inequivalent atoms, fractional coordinates:
La 0.0000 0.0000 0.0000 x1
Y 0.0000 0.0000 0.5000 x1
Hf 0.5000 0.5000 0.5000 x1
S 0.0000 0.5000 0.0000 x2

***

Entry 9:
First-principles (PBE) data for crystalline GeBiAu2 at its relaxed geometry, as listed in the Alexandria database.

- Distance to the lowest polymorph of the same formula: 0.000 eV/atom
- Formation energy: -4 kJ/mol of formula units

a = 4.3093 Å, b = 5.6489 Å, c = 7.6386 Å
α = 90.00°, β = 90.00°, γ = 90.00°
Space group Pmmn (No. 59, origin choice 2)
Inequivalent atoms, fractional coordinates:
Ge 0.2500 0.2500 0.0886 x2
Bi 0.2500 0.7500 0.4205 x2
Au 0.2500 0.5015 0.7867 x4

***

Entry 10:
First-principles (PBE) data for crystalline YTlPb4 at its relaxed geometry, as listed in the Alexandria database.

- Formation energy: 6 kJ/mol of formula units

a = 9.1730 Å, b = 9.1730 Å, c = 9.1730 Å
α = 90.00°, β = 90.00°, γ = 90.00°
Space group F-43m (No. 216)
Inequivalent atoms, fractional coordinates:
Y 0.0000 0.0000 0.0000 x4
Tl 0.2500 0.2500 0.2500 x4
Pb 0.1261 0.1261 0.6261 x16

***

Entry 11:
First-principles (PBE) data for crystalline KOsPt2 at its relaxed geometry, as listed in the Alexandria database.

- Distance to the lowest polymorph of the same formula: 0.223 eV/atom
- Formation energy: 188 kJ/mol of formula units

a = 9.1638 Å, b = 2.7459 Å, c = 6.7206 Å
α = 90.00°, β = 96.52°, γ = 90.00°
Space group Cm (No. 8)
Inequivalent atoms, fractional coordinates:
K 0.0000 0.0000 0.0000 x2
Os 0.2646 0.5000 0.3663 x2
Pt 0.0021 0.5000 0.4716 x2
Pt 0.2351 0.0000 0.6927 x2

***

Entry 12:
First-principles (PBE) data for crystalline TbPrSmAl at its relaxed geometry, as listed in the Alexandria database.

- Formation energy: -18 kJ/mol of formula units

a = 7.7232 Å, b = 7.7232 Å, c = 7.7232 Å
α = 90.00°, β = 90.00°, γ = 90.00°
Space group F-43m (No. 216)
Inequivalent atoms, fractional coordinates:
Tb 0.0000 0.0000 0.0000 x4
Pr 0.2500 0.2500 0.2500 x4
Sm 0.2500 0.2500 0.7500 x4
Al 0.0000 0.0000 0.5000 x4

***

Fermi-level density of states (computed, states/eV per cell): 14.7, 18.4, 8.8, 1.9, 10.8, 24.3, 4.8, 6.5, 4.0, 20.0, 8.5, 28.5